Material: Ca3LaF
Method: DFT, PBE-GGA
State: optimized geometry

extended XYZ file:
```
5
Lattice="6.488 0.000 0.000 0.000 6.488 0.000 0.000 0.000 6.488" Properties=species:S:1:pos:R:3 pbc="T T T"
Ca 0.000 0.000 3.244
Ca 0.000 3.244 0.000
Ca 3.244 0.000 0.000
La 0.000 0.000 0.000
F 3.244 3.244 3.244
```

Output
The value obtained for the formation energy from raw total energies is 526 meV/atom. The value obtained for the density of states at the Fermi level is 0.738 states/eV per atom. The calculation puts the distance to the lowest polymorph of the same formula at 1435 meV per atom.